# AlTc2

A relaxed AlTc2 crystal (PBE, Alexandria via LeMat-Bulk).

Energy of formation from the pure elements in meV/atom: -168
Energy above the most stable polymorph in this dataset in meV/atom: 245

```
data_AlTc2
_symmetry_space_group_name_H-M 'P -3 m 1'
_symmetry_Int_Tables_number 164
_symmetry_space_group_name_Hall '-P 3 2"'
_cell_length_a 2.7980
_cell_length_b 2.7980
_cell_length_c 6.5026
_cell_angle_alpha 90.00
_cell_angle_beta 90.00
_cell_angle_gamma 120.00
loop_
_atom_site_label
_atom_site_type_symbol
_atom_site_fract_x
_atom_site_fract_y
_atom_site_fract_z
Al1 Al 0.0000 0.0000 0.0000
Tc1 Tc 0.3333 0.6667 0.3406
```

=====

# SbRuPt2

A relaxed SbRuPt2 crystal (PBE, Alexandria via LeMat-Bulk).

ΔE_f (raw) in eV per atom: 0.04

```
data_SbRuPt2
_symmetry_space_group_name_H-M 'F -4 3 m'
_symmetry_Int_Tables_number 216
_symmetry_space_group_name_Hall 'F -4 2 3'
_cell_length_a 6.4367
_cell_length_b 6.4367
_cell_length_c 6.4367
_cell_angle_alpha 90.00
_cell_angle_beta 90.00
_cell_angle_gamma 90.00
loop_
_atom_site_label
_atom_site_type_symbol
_atom_site_fract_x
_atom_site_fract_y
_atom_site_fract_z
Sb1 Sb 0.0000 0.0000 0.0000
Ru1 Ru 0.2500 0.2500 0.7500
Pt1 Pt 0.0000 0.0000 0.5000
Pt2 Pt 0.2500 0.2500 0.2500
```

=====

Number 1: calculated total energy -8.33 eV per atom. Number 2: calculated total energy -6.33 eV per atom.